An optimized crystal structure of Be2Fe5Re2Ge, computed with PBE-GGA.

ΔE_f = -3.6 kJ per mole of atoms
Total moment = 0.0 μB/cell
Mass density = 11.430 g/cm³
Symmetry = P4/mbm
Crystal system = tetragonal

a b c (Å): 8.750 8.750 2.817
angles (deg): 90.00 90.00 90.00
Positions (direct):
Be1 0.123 0.377 0.000
Be2 0.377 0.877 0.000
Be3 0.623 0.123 0.000
Be4 0.877 0.623 0.000
Fe1 0.000 0.500 0.500
Fe2 0.062 0.208 0.500
Fe3 0.208 0.938 0.500
Fe4 0.292 0.438 0.500
Fe5 0.438 0.708 0.500
Fe6 0.500 0.000 0.500
Fe7 0.562 0.292 0.500
Fe8 0.708 0.562 0.500
Fe9 0.792 0.062 0.500
Fe10 0.938 0.792 0.500
Re1 0.176 0.676 0.000
Re2 0.324 0.176 0.000
Re3 0.676 0.824 0.000
Re4 0.824 0.324 0.000
Ge1 0.000 0.000 0.000
Ge2 0.500 0.500 0.000

An optimized crystal structure of Sc2Be2Fe5Ge, computed with PBE-GGA.

ΔE_f = -18.8 kJ per mole of atoms
Total moment = 14.8 μB/cell
Mass density = 6.072 g/cm³
Symmetry = P4/mbm
Crystal system = tetragonal

a b c (Å): 8.599 8.599 3.401
angles (deg): 90.00 90.00 90.00
Positions (direct):
Sc1 0.179 0.321 0.000
Sc2 0.321 0.821 0.000
Sc3 0.679 0.179 0.000
Sc4 0.821 0.679 0.000
Be1 0.114 0.614 0.000
Be2 0.386 0.114 0.000
Be3 0.614 0.886 0.000
Be4 0.886 0.386 0.000
Fe1 0.000 0.500 0.500
Fe2 0.066 0.784 0.500
Fe3 0.216 0.066 0.500
Fe4 0.284 0.566 0.500
Fe5 0.434 0.284 0.500
Fe6 0.500 0.000 0.500
Fe7 0.566 0.716 0.500
Fe8 0.716 0.434 0.500
Fe9 0.784 0.934 0.500
Fe10 0.934 0.216 0.500
Ge1 0.000 0.000 0.000
Ge2 0.500 0.500 0.000

An optimized crystal structure of Ta2Be2Fe5Ge, computed with PBE-GGA.

ΔE_f = -21.8 kJ per mole of atoms
Total moment = 2.9 μB/cell
Mass density = 10.595 g/cm³
Symmetry = P4/mbm
Crystal system = tetragonal

a b c (Å): 8.708 8.708 3.025
angles (deg): 90.00 90.00 90.00
Positions (direct):
Ta1 0.175 0.325 0.000
Ta2 0.325 0.825 0.000
Ta3 0.675 0.175 0.000
Ta4 0.825 0.675 0.000
Be1 0.121 0.621 0.000
Be2 0.379 0.121 0.000
Be3 0.621 0.879 0.000
Be4 0.879 0.379 0.000
Fe1 0.000 0.500 0.500
Fe2 0.067 0.789 0.500
Fe3 0.211 0.067 0.500
Fe4 0.289 0.567 0.500
Fe5 0.433 0.289 0.500
Fe6 0.500 0.000 0.500
Fe7 0.567 0.711 0.500
Fe8 0.711 0.433 0.500
Fe9 0.789 0.933 0.500
Fe10 0.933 0.211 0.500
Ge1 0.000 0.000 0.000
Ge2 0.500 0.500 0.000

An optimized crystal structure of TmBeFeGe3, computed with PBE-GGA.

ΔE_f = 2.3 kJ per mole of atoms
Total moment = 1.6 μB/cell
Mass density = 7.206 g/cm³
Symmetry = Cmcm
Crystal system = orthorhombic

a b c (Å): 6.018 6.018 6.961
angles (deg): 90.00 90.00 124.34
Positions (direct):
Tm1 0.213 0.787 0.750
Tm2 0.787 0.213 0.250
Be1 0.482 0.518 0.750
Be2 0.518 0.482 0.250
Fe1 0.098 0.902 0.250
Fe2 0.902 0.098 0.750
Ge1 0.235 0.235 0.000
Ge2 0.235 0.235 0.500
Ge3 0.310 0.690 0.250
Ge4 0.690 0.310 0.750
Ge5 0.765 0.765 0.000
Ge6 0.765 0.765 0.500

An optimized crystal structure of Be2V2Fe5Ge, computed with PBE-GGA.

ΔE_f = -9.3 kJ per mole of atoms
Total moment = 2.6 μB/cell
Mass density = 7.318 g/cm³
Symmetry = P4/mbm
Crystal system = tetragonal

a b c (Å): 8.554 8.554 2.926
angles (deg): 90.00 90.00 90.00
Positions (direct):
Be1 0.123 0.377 0.000
Be2 0.377 0.877 0.000
Be3 0.623 0.123 0.000
Be4 0.877 0.623 0.000
V1 0.173 0.673 0.000
V2 0.327 0.173 0.000
V3 0.673 0.827 0.000
V4 0.827 0.327 0.000
Fe1 0.000 0.500 0.500
Fe2 0.069 0.209 0.500
Fe3 0.209 0.931 0.500
Fe4 0.291 0.431 0.500
Fe5 0.431 0.709 0.500
Fe6 0.500 0.000 0.500
Fe7 0.569 0.291 0.500
Fe8 0.709 0.569 0.500
Fe9 0.791 0.069 0.500
Fe10 0.931 0.791 0.500
Ge1 0.000 0.000 0.000
Ge2 0.500 0.500 0.000

An optimized crystal structure of BeVFeGe2, computed with PBE-GGA.

ΔE_f = 70.8 kJ per mole of atoms
Total moment = 0.0 μB/cell
Mass density = 6.198 g/cm³
Symmetry = P4/mmm
Crystal system = tetragonal

a b c (Å): 4.304 4.304 3.776
angles (deg): 90.00 90.00 90.00
Positions (direct):
Be1 0.000 0.000 0.000
V1 0.500 0.500 0.500
Fe1 0.000 0.000 0.500
Ge1 0.000 0.500 0.000
Ge2 0.500 0.000 0.000

An optimized crystal structure of Be2Fe5GeW2, computed with PBE-GGA.

ΔE_f = -8.2 kJ per mole of atoms
Total moment = 0.0 μB/cell
Mass density = 11.121 g/cm³
Symmetry = P4/mbm
Crystal system = tetragonal

a b c (Å): 8.729 8.729 2.891
angles (deg): 90.00 90.00 90.00
Positions (direct):
Be1 0.122 0.378 0.000
Be2 0.378 0.878 0.000
Be3 0.622 0.122 0.000
Be4 0.878 0.622 0.000
Fe1 0.000 0.500 0.500
Fe2 0.065 0.210 0.500
Fe3 0.210 0.935 0.500
Fe4 0.290 0.435 0.500
Fe5 0.435 0.710 0.500
Fe6 0.500 0.000 0.500
Fe7 0.565 0.290 0.500
Fe8 0.710 0.565 0.500
Fe9 0.790 0.065 0.500
Fe10 0.935 0.790 0.500
Ge1 0.000 0.000 0.000
Ge2 0.500 0.500 0.000
W1 0.174 0.674 0.000
W2 0.326 0.174 0.000
W3 0.674 0.826 0.000
W4 0.826 0.326 0.000

An optimized crystal structure of BeFeH2, computed with PBE-GGA.

Total moment = 3.7 μB/cell
Polymorph energy (0 for the lowest one) = 0.00 kcal/mol of atoms
Mass density = 4.297 g/cm³
Symmetry = I-42d
Crystal system = tetragonal

a b c (Å): 4.596 4.596 4.596
angles (deg): 132.55 132.55 69.36
Positions (direct):
Be1 0.000 0.000 0.000
Be2 0.750 0.250 0.500
Fe1 0.250 0.750 0.500
Fe2 0.500 0.500 0.000
H1 0.104 0.625 0.979
H2 0.375 0.354 0.479
H3 0.646 0.125 0.021
H4 0.875 0.896 0.521